Here is an optimized crystal structure of Pr5Ho2Tm2 from the Alexandria database. Energies are from GGA-PBE.

## Properties
- DOS at the Fermi energy (states/eV/cell) = 13.020
- energy relative to the elements (meV per atom) = 23
- energy above the lowest structure with this stoichiometry (meV per atom) = 0
- raw total energy (eV/atom) = -4.643

Cell lengths 8.1107, 8.1107, 8.1023 Å; angles 107.57, 107.57, 36.85 degrees
Positions (direct):
1 Pr 0.0000 0.0000 0.0000
2 Pr 0.2228 0.2228 0.3369
3 Pr 0.3341 0.3341 0.9984
4 Pr 0.6659 0.6659 0.0016
5 Pr 0.7772 0.7772 0.6631
6 Ho 0.1083 0.1083 0.6640
7 Ho 0.8917 0.8917 0.3360
8 Tm 0.4459 0.4459 0.6615
9 Tm 0.5541 0.5541 0.3385